## CeErSi2O8 (PBE)

Data for crystalline CeErSi2O8 at its relaxed geometry.

POSCAR file:
```
CeErSi2O8
1.0
5.8524 0.0500 0.0000
-2.5508 5.2675 0.0000
-1.6508 -2.6588 4.9456
O Si Er Ce
8 2 1 1
direct
0.4864 0.6674 0.8190
0.3326 0.1516 0.8190
0.7590 0.0799 0.6791
0.9201 0.2410 0.3209
0.9201 0.5993 0.6791
0.8484 0.6674 0.1810
0.4007 0.0799 0.3209
0.3326 0.5136 0.1810
0.7500 0.2500 0.5000
0.5000 0.5000 0.0000
0.2500 0.7500 0.5000
0.0000 0.0000 0.0000
```

Values from the calculation:
space-group type = I-4m2
uncorrected energy = -96.52 eV per cell
ΔE_f (raw) = -2.96 eV per atom

***

## Sr2CeErO6 (PBE)

Data for crystalline Sr2CeErO6 at its relaxed geometry.

POSCAR file:
```
Sr2CeErO6
1.0
6.0031 0.0000 -0.0236
0.0000 6.1527 0.0000
0.0193 0.0000 8.5831
O Ce Sr Er
12 2 4 2
direct
0.7038 0.2930 0.9438
0.3957 0.9571 0.7499
0.7046 0.2945 0.5563
0.1043 0.4571 0.7501
0.6043 0.0429 0.2501
0.8957 0.5429 0.2499
0.2954 0.7055 0.4437
0.7954 0.7945 0.9437
0.2962 0.7070 0.0562
0.2038 0.2070 0.4438
0.2046 0.2055 0.0563
0.7962 0.7930 0.5562
0.5000 0.0000 0.0000
0.0000 0.5000 0.5000
0.4853 0.4536 0.2499
0.9853 0.0464 0.7499
0.5147 0.5464 0.7501
0.0147 0.9536 0.2501
0.0000 0.5000 0.0000
0.5000 0.0000 0.5000
```

Values from the calculation:
space-group type = P2_1/c
uncorrected energy = -147.09 eV per cell
ΔE_f (raw) = -2.99 eV per atom

***

## CeEr2TaO8 (PBE)

Data for crystalline CeEr2TaO8 at its relaxed geometry.

POSCAR file:
```
CeEr2TaO8
1.0
5.0186 -0.0604 -0.0029
-0.0392 5.0217 -0.0055
0.0041 0.0077 6.8740
Er O Ta Ce
2 8 1 1
direct
0.5000 0.5000 0.2431
0.5000 0.5000 0.7569
0.3052 0.3045 0.5000
0.2853 0.2845 0.0000
0.6948 0.6955 0.5000
0.8148 0.1858 0.2198
0.7147 0.7155 0.0000
0.8148 0.1858 0.7802
0.1852 0.8142 0.7802
0.1852 0.8142 0.2198
0.0000 0.0000 0.0000
0.0000 0.0000 0.5000
```

Values from the calculation:
space-group type = Cmmm
uncorrected energy = -104.07 eV per cell
ΔE_f (raw) = -3.12 eV per atom

***

## CeErTaO6 (PBE)

Data for crystalline CeErTaO6 at its relaxed geometry.

POSCAR file:
```
CeErTaO6
1.0
5.5350 0.0000 0.0000
-2.7675 4.7934 0.0000
0.0000 0.0000 9.5540
O Ta Ce Er
12 2 2 2
direct
0.6718 0.6395 0.1343
0.0323 0.3605 0.6343
0.3605 0.0323 0.1343
0.3605 0.3282 0.3657
0.3282 0.3605 0.8657
0.0323 0.6718 0.8657
0.6395 0.6718 0.6343
0.3282 0.9677 0.6343
0.9677 0.6395 0.3657
0.9677 0.3282 0.1343
0.6718 0.0323 0.3657
0.6395 0.9677 0.8657
0.3333 0.6667 0.7500
0.6667 0.3333 0.2500
0.0000 0.0000 0.5000
0.0000 0.0000 0.0000
0.6667 0.3333 0.7500
0.3333 0.6667 0.2500
```

Values from the calculation:
space-group type = P-31c
uncorrected energy = -162.02 eV per cell
ΔE_f (raw) = -3.21 eV per atom

***

## CeErTeO6 (PBE)

Data for crystalline CeErTeO6 at its relaxed geometry.

POSCAR file:
```
CeErTeO6
1.0
-1.2622 -4.5742 -2.9228
2.9250 -0.4307 4.7243
-8.3672 -0.9461 5.0942
Ce Er O Te
2 2 12 2
direct
0.0000 0.0000 0.0000
0.0000 0.0000 0.5000
0.3333 0.6667 0.2500
0.6667 0.3333 0.7500
0.3704 0.0353 0.1370
0.6296 0.6649 0.6370
0.3351 0.9647 0.6370
0.0353 0.3704 0.6370
0.3351 0.3704 0.8630
0.9647 0.6296 0.3630
0.6649 0.0353 0.3630
0.6649 0.6296 0.1370
0.0353 0.6649 0.8630
0.9647 0.3351 0.1370
0.3704 0.3351 0.3630
0.6296 0.9647 0.8630
0.6667 0.3333 0.2500
0.3333 0.6667 0.7500
```

Values from the calculation:
space-group type = P-31c
uncorrected energy = -130.67 eV per cell
ΔE_f (raw) = -2.44 eV per atom

***

## CeErTeO2 (PBE)

Data for crystalline CeErTeO2 at its relaxed geometry.

POSCAR file:
```
CeErTeO2
1.0
-0.6871 3.8450 -0.6995
-2.0499 -0.9593 -3.2593
-3.9246 -1.7658 5.4036
O Er Te Ce
2 1 1 1
direct
0.2454 0.7454 0.4908
0.7454 0.2454 0.4908
0.1629 0.1629 0.3258
0.5023 0.5023 0.0047
0.8439 0.8439 0.6879
```

Values from the calculation:
space-group type = I4mm
uncorrected energy = -38.00 eV per cell
ΔE_f (raw) = -2.89 eV per atom

***

## CeErUO6 (PBE)

Data for crystalline CeErUO6 at its relaxed geometry.

POSCAR file:
```
CeErUO6
1.0
5.7756 0.0000 0.0000
-2.8878 5.0018 0.0000
0.0000 0.0000 9.6060
O U Ce Er
12 2 2 2
direct
0.6630 0.6458 0.1351
0.3542 0.0172 0.1351
0.0172 0.6630 0.8649
0.3542 0.3370 0.3649
0.6630 0.0172 0.3649
0.0172 0.3542 0.6351
0.9828 0.6458 0.3649
0.6458 0.6630 0.6351
0.6458 0.9828 0.8649
0.3370 0.3542 0.8649
0.3370 0.9828 0.6351
0.9828 0.3370 0.1351
0.3333 0.6667 0.7500
0.6667 0.3333 0.2500
0.0000 0.0000 0.0000
0.0000 0.0000 0.5000
0.6667 0.3333 0.7500
0.3333 0.6667 0.2500
```

Values from the calculation:
space-group type = P-31c
uncorrected energy = -163.48 eV per cell
ΔE_f (raw) = -3.36 eV per atom

***

## CeEr2UO8 (PBE)

Data for crystalline CeEr2UO8 at its relaxed geometry.

POSCAR file:
```
CeEr2UO8
1.0
3.7973 -0.0355 -0.0021
0.0443 5.3384 -0.0053
0.0037 0.0091 7.5420
U Er O Ce
1 2 8 1
direct
0.0000 0.0000 0.0000
0.5000 0.5000 0.2506
0.5000 0.5000 0.7494
0.9995 0.2422 0.7685
0.4996 0.2508 0.5000
0.0005 0.7578 0.7685
0.0005 0.7578 0.2315
0.5006 0.7663 0.0000
0.5004 0.7492 0.5000
0.4994 0.2337 0.0000
0.9995 0.2422 0.2315
0.0000 0.0000 0.5000
```

Values from the calculation:
space-group type = Pmmm
uncorrected energy = -107.64 eV per cell
ΔE_f (raw) = -3.47 eV per atom